(1)
DFT (PBE) results for a relaxed structure of BaAc2La.

Its total DFT energy (no corrections) is -0.1332 hartree per atom. For the distance to the lowest polymorph of the same formula, the calculation gives 92 meV per atom. The calculation puts the calculated density at 6466 kg/m³.

The space group is P2/m (No. 10) and the conventional cell measures 3.8492, 3.9234 and 12.4175 Å, with angles of 90.00, 90.15 and 90.00 degrees. Symmetry generates all atoms from Ba at (0.0000, 0.0000, 0.0000), Ac at (0.0016, 0.5000, 0.7128) and La at (0.5000, 0.0000, 0.5000).

***

(2)
DFT (PBE) results for a relaxed structure of CaHgW2.

Its total DFT energy (no corrections) is -0.2213 hartree per atom. The calculation puts the calculated density at 12110 kg/m³.

The space group is I-42d (No. 122) and the conventional cell measures 3.9194, 3.9194 and 21.7208 Å, with angles of 90.00, 90.00 and 90.00 degrees. Symmetry generates all atoms from Ca at (0.0000, 0.0000, 0.0000), Hg at (0.0000, 0.0000, 0.5000) and W at (0.2449, 0.2500, 0.1250).

***

(3)
DFT (PBE) results for a relaxed structure of Ca2PmPd9.

Its total DFT energy (no corrections) is -0.1925 hartree per atom. The calculation puts the calculated density at 8689 kg/m³.

The space group is R-3m (No. 166, hexagonal axes) and the conventional cell measures 5.3884, 5.3884 and 26.9708 Å, with angles of 90.00, 90.00 and 120.00 degrees. Symmetry generates all atoms from Ca at (0.0000, 0.0000, 0.1410), Pm at (0.0000, 0.0000, 0.0000), Pd at (0.0000, 0.0000, 0.3329), Pd at (0.0000, 0.0000, 0.5000) and Pd at (0.0018, 0.5009, 0.9156).

***

(4)
DFT (PBE) results for a relaxed structure of CeCoRh2.

Its total DFT energy (no corrections) is -0.2705 hartree per atom. The calculation puts the calculated density at 10377 kg/m³.

The space group is P4/mmm (No. 123) and the conventional cell measures 4.0707, 4.0707 and 3.9096 Å, with angles of 90.00, 90.00 and 90.00 degrees. Symmetry generates all atoms from Ce at (0.0000, 0.0000, 0.0000), Co at (0.5000, 0.5000, 0.0000) and Rh at (0.0000, 0.5000, 0.5000).

***

(5)
DFT (PBE) results for a relaxed structure of La3PrCo.

Its total DFT energy (no corrections) is -0.1971 hartree per atom. For the distance to the lowest polymorph of the same formula, the calculation gives 62 meV per atom. The calculation puts the calculated density at 6188 kg/m³.

The space group is Pmn2_1 (No. 31) and the conventional cell measures 7.7494, 6.6495 and 6.4220 Å, with angles of 90.00, 90.00 and 90.00 degrees. Symmetry generates all atoms from La at (0.0000, 0.1515, 0.0000), La at (0.2483, 0.6652, 0.9983), Pr at (0.0000, 0.8449, 0.5012) and Co at (0.0000, 0.4936, 0.2457).

***

(6)
DFT (PBE) results for a relaxed structure of AsOsRu2.

Its total DFT energy (no corrections) is -0.3115 hartree per atom. The calculation puts the calculated density at 13626 kg/m³.

The space group is P4/mmm (No. 123) and the conventional cell measures 2.8388, 2.8388 and 7.0663 Å, with angles of 90.00, 90.00 and 90.00 degrees. Symmetry generates all atoms from As at (0.0000, 0.0000, 0.0000), Os at (0.0000, 0.0000, 0.5000) and Ru at (0.5000, 0.5000, 0.2399).

***

(7)
DFT (PBE) results for a relaxed structure of Sc2Pt2Au.

Its total DFT energy (no corrections) is -0.2359 hartree per atom. For the distance to the lowest polymorph of the same formula, the calculation gives 242 meV per atom. The calculation puts the calculated density at 11129 kg/m³.

The space group is I4/mmm (No. 139) and the conventional cell measures 3.7834, 3.7834 and 14.1152 Å, with angles of 90.00, 90.00 and 90.00 degrees. Symmetry generates all atoms from Sc at (0.0000, 0.0000, 0.1121), Pt at (0.0000, 0.5000, 0.2500) and Au at (0.0000, 0.0000, 0.5000).

***

(8)
DFT (PBE) results for a relaxed structure of Cd2MoPb.

Its total DFT energy (no corrections) is -0.1332 hartree per atom. The calculation puts the calculated density at 9822 kg/m³.

The space group is R-3m (No. 166, hexagonal axes) and the conventional cell measures 3.1305, 3.1305 and 31.5519 Å, with angles of 90.00, 90.00 and 120.00 degrees. Symmetry generates all atoms from Cd at (0.0000, 0.0000, 0.2397), Mo at (0.0000, 0.0000, 0.5000) and Pb at (0.0000, 0.0000, 0.0000).

***

| no. | energy relative to the elements (eV/atom) |
| --- | --- |
| 1 | 0.143 |
| 2 | 1.031 |
| 3 | -0.614 |
| 4 | -0.424 |
| 5 | -0.031 |
| 6 | 0.133 |
| 7 | -0.813 |
| 8 | 0.467 |